The following is a DFT calculation (PBE-GGA) of crystalline Li3In4 at its relaxed geometry.

Cell: 7.3070 7.3070 7.3070 Å, 109.47 109.47 109.47°
With the nearest neighbours (Å) after each atom.
Fractional positions:
Li: 0.1250 0.7500 0.8750  8 In 2.92
Li: 0.2500 0.6250 0.3750  8 In 2.92
Li: 0.3750 0.2500 0.6250  8 In 2.92
Li: 0.6250 0.3750 0.2500  8 In 2.92
Li: 0.7500 0.8750 0.1250  8 In 2.92
Li: 0.8750 0.1250 0.7500  8 In 2.92
In: 0.0000 0.3334 0.5000  6 Li 2.92, 3 In 3.14
In: 0.0000 0.8334 0.5000  6 Li 2.92, 3 In 3.14
In: 0.1666 0.1666 0.1666  6 Li 2.92, 3 In 3.14
In: 0.3334 0.5000 0.0000  6 Li 2.92, 3 In 3.14
In: 0.5000 0.0000 0.3334  6 Li 2.92, 3 In 3.14
In: 0.5000 0.0000 0.8334  6 Li 2.92, 3 In 3.14
In: 0.6666 0.6666 0.6666  6 Li 2.92, 3 In 3.14
In: 0.8334 0.5000 0.0000  6 Li 2.92, 3 In 3.14

Results
ΔE to the lowest computed polymorph in meV/atom: 22
Space-group type: I-43d, No. 220
Crystal system: cubic
Energy in eV per atom: -2.56
Density in Mg/m³: 5.3
E_form in eV per atom: -0.176
Magnetic moment in μB per cell: 0.0


The following is a DFT calculation (PBE-GGA) of crystalline Li13In3 at its relaxed geometry.

Cell: 9.5220 5.7566 5.7566 Å, 109.06 90.00 90.00°
With the nearest neighbours (Å) after each atom.
Fractional positions:
Li: 0.0000 0.0000 0.0000  6 Li 2.73-3.04, 2 In 2.95
Li: 0.0000 0.0358 0.4855  8 Li 2.73-3.04
Li: 0.0000 0.4855 0.0358  8 Li 2.73-3.04
Li: 0.0000 0.5258 0.5258  6 Li 2.75-3.02, 2 In 2.86
Li: 0.2471 0.7401 0.7401  7 Li 2.75-2.93, 1 In 2.87
Li: 0.2546 0.2396 0.7662  6 Li 2.83-2.98, 2 In 2.86-2.91
Li: 0.2546 0.7662 0.2396  6 Li 2.83-2.98, 2 In 2.86-2.91
Li: 0.5000 0.0297 0.4850  6 Li 2.77-3.00, 2 In 2.85-2.94
Li: 0.5000 0.4850 0.0297  6 Li 2.77-3.00, 2 In 2.85-2.94
Li: 0.5000 0.5221 0.5221  6 Li 2.77-3.00, 3 In 2.96-3.02
Li: 0.7454 0.2396 0.7662  6 Li 2.83-2.98, 2 In 2.86-2.91
Li: 0.7454 0.7662 0.2396  6 Li 2.83-2.98, 2 In 2.86-2.91
Li: 0.7529 0.7401 0.7401  7 Li 2.75-2.93, 1 In 2.87
In: 0.2431 0.2733 0.2733  10 Li 2.86-3.13, 1 In 3.16
In: 0.5000 0.9743 0.9743  7 Li 2.85-3.02, 2 In 3.16
In: 0.7569 0.2733 0.2733  10 Li 2.86-3.13, 1 In 3.16

Results
ΔE to the lowest computed polymorph in meV/atom: 27
Space-group type: Amm2, No. 38
Crystal system: orthorhombic
Energy in eV per atom: -2.24
Density in Mg/m³: 2.4
E_form in eV per atom: -0.176
Magnetic moment in μB per cell: 0.0


The following is a DFT calculation (PBE-GGA) of crystalline LiIn2 at its relaxed geometry.

Cell: 3.5735 8.2025 5.1157 Å, 90.00 110.51 90.00°
With the nearest neighbours (Å) after each atom.
Fractional positions:
Li: 0.0799 0.2500 0.1639  10 In 3.04-3.24
Li: 0.9201 0.7500 0.8361  10 In 3.04-3.24
In: 0.3629 0.0722 0.7199  4 In 2.92-3.02, 5 Li 3.04-3.24
In: 0.3629 0.4278 0.7199  4 In 2.92-3.02, 5 Li 3.04-3.24
In: 0.6371 0.5722 0.2801  4 In 2.92-3.02, 5 Li 3.04-3.24
In: 0.6371 0.9278 0.2801  4 In 2.92-3.02, 5 Li 3.04-3.24

Results
Space-group type: P2_1/m, No. 11
Crystal system: monoclinic
Energy in eV per atom: -2.62
Density in Mg/m³: 5.6
E_form in eV per atom: -0.159
Magnetic moment in μB per cell: 0.0


The following is a DFT calculation (PBE-GGA) of crystalline LiIn2 at its relaxed geometry.

Cell: 6.0566 6.0566 6.0566 Å, 60.00 60.00 60.00°
With the nearest neighbours (Å) after each atom.
Fractional positions:
Li: 0.1250 0.1250 0.1250  12 In 3.55, 4 Li 3.71
Li: 0.8750 0.8750 0.8750  12 In 3.55, 4 Li 3.71
In: 0.0000 0.5000 0.5000  6 In 3.03
In: 0.5000 0.0000 0.5000  6 In 3.03
In: 0.5000 0.5000 0.0000  6 In 3.03
In: 0.5000 0.5000 0.5000  6 In 3.03

Results
Space-group type: Fd-3m, No. 227
Crystal system: cubic
Energy in eV per atom: -2.50
Density in Mg/m³: 5.0
E_form in eV per atom: -0.034
Magnetic moment in μB per cell: 0.0


The following is a DFT calculation (PBE-GGA) of crystalline Li13In3 at its relaxed geometry.

Cell: 9.3738 9.3738 9.3738 Å, 60.00 60.00 60.00°
With the nearest neighbours (Å) after each atom.
Fractional positions:
Li: 0.0000 0.0000 0.0000  6 Li 2.85, 2 In 2.87
Li: 0.0000 0.0000 0.5000  6 Li 2.85, 2 In 2.87
Li: 0.0000 0.5000 0.0000  6 Li 2.85, 2 In 2.87
Li: 0.1220 0.1220 0.6280  6 Li 2.85-2.90, 2 In 2.89
Li: 0.1220 0.6280 0.1220  6 Li 2.85-2.90, 2 In 2.89
Li: 0.1220 0.6280 0.6280  6 Li 2.85-2.90, 2 In 2.89
Li: 0.2558 0.2558 0.2558  7 Li 2.74-2.90, 1 In 3.00
Li: 0.2558 0.2558 0.7327  7 Li 2.74-2.90, 1 In 3.00
Li: 0.2558 0.7327 0.2558  7 Li 2.74-2.90, 1 In 3.00
Li: 0.2673 0.7442 0.7442  7 Li 2.74-2.90, 1 In 3.00
Li: 0.3720 0.3720 0.8780  6 Li 2.85-2.90, 2 In 2.89
Li: 0.3720 0.8780 0.3720  6 Li 2.85-2.90, 2 In 2.89
Li: 0.3720 0.8780 0.8780  6 Li 2.85-2.90, 2 In 2.89
Li: 0.3750 0.3750 0.3750  4 Li 2.74, 4 In 2.87
Li: 0.5000 0.0000 0.0000  6 Li 2.85, 2 In 2.87
Li: 0.6250 0.6250 0.6250  4 Li 2.74, 4 In 2.87
Li: 0.6280 0.1220 0.1220  6 Li 2.85-2.90, 2 In 2.89
Li: 0.6280 0.1220 0.6280  6 Li 2.85-2.90, 2 In 2.89
Li: 0.6280 0.6280 0.1220  6 Li 2.85-2.90, 2 In 2.89
Li: 0.7327 0.2558 0.2558  7 Li 2.74-2.90, 1 In 3.00
Li: 0.7442 0.2673 0.7442  7 Li 2.74-2.90, 1 In 3.00
Li: 0.7442 0.7442 0.2673  7 Li 2.74-2.90, 1 In 3.00
Li: 0.7442 0.7442 0.7442  7 Li 2.74-2.90, 1 In 3.00
Li: 0.8780 0.3720 0.3720  6 Li 2.85-2.90, 2 In 2.89
Li: 0.8780 0.3720 0.8780  6 Li 2.85-2.90, 2 In 2.89
Li: 0.8780 0.8780 0.3720  6 Li 2.85-2.90, 2 In 2.89
In: 0.0000 0.5000 0.5000  8 Li 2.87-2.89
In: 0.1250 0.1250 0.1250  8 Li 2.87-3.00
In: 0.5000 0.0000 0.5000  8 Li 2.87-2.89
In: 0.5000 0.5000 0.0000  8 Li 2.87-2.89
In: 0.5000 0.5000 0.5000  8 Li 2.87-2.89
In: 0.8750 0.8750 0.8750  8 Li 2.87-3.00

Results
ΔE to the lowest computed polymorph in meV/atom: 0
Space-group type: Fd-3m, No. 227
Crystal system: cubic
Energy in eV per atom: -2.27
Density in Mg/m³: 2.5
E_form in eV per atom: -0.203
Magnetic moment in μB per cell: 0.0


The following is a DFT calculation (PBE-GGA) of crystalline Li6In at its relaxed geometry.

Cell: 5.8589 5.8589 5.8589 Å, 109.47 109.47 109.47°
With the nearest neighbours (Å) after each atom.
Fractional positions:
Li: 0.2500 0.5000 0.7500  4 Li 2.39
Li: 0.2500 0.7500 0.5000  4 Li 2.39
Li: 0.5000 0.2500 0.7500  4 Li 2.39
Li: 0.5000 0.7500 0.2500  4 Li 2.39
Li: 0.7500 0.2500 0.5000  4 Li 2.39
Li: 0.7500 0.5000 0.2500  4 Li 2.39
In: 0.0000 0.0000 0.0000  24 Li 3.78

Results
Space-group type: Im-3m, No. 229
Crystal system: cubic
Energy in eV per atom: -1.62
Density in Mg/m³: 1.7
E_form in eV per atom: 0.411
Magnetic moment in μB per cell: 0.0


The following is a DFT calculation (PBE-GGA) of crystalline LiIn5 at its relaxed geometry.

Cell: 5.1136 8.9356 8.9356 Å, 21.83 90.00 90.00°
With the nearest neighbours (Å) after each atom.
Fractional positions:
Li: 0.0000 0.0000 0.0000  10 In 3.18-3.30, 2 Li 3.38
In: 0.0000 0.3461 0.3461  8 In 3.17-3.38, 2 Li 3.19
In: 0.0000 0.6615 0.6615  8 In 3.20-3.38, 2 Li 3.30
In: 0.5000 0.1094 0.1094  2 Li 3.20, 10 In 3.20-3.46
In: 0.5000 0.4527 0.4527  8 In 3.17-3.45, 4 Li 3.18
In: 0.5000 0.7813 0.7813  12 In 3.27-3.46

Results
ΔE to the lowest computed polymorph in meV/atom: 13
Space-group type: Amm2, No. 38
Crystal system: orthorhombic
Energy in eV per atom: -2.67
Density in Mg/m³: 6.4
E_form in eV per atom: -0.068
Magnetic moment in μB per cell: 0.0


The following is a DFT calculation (PBE-GGA) of crystalline LiIn2 at its relaxed geometry.

Cell: 5.0956 5.0956 3.1996 Å, 90.00 90.00 120.00°
With the nearest neighbours (Å) after each atom.
Fractional positions:
Li: 0.0000 0.0000 0.0000  2 Li 3.20, 12 In 3.35
In: 0.3333 0.6667 0.5000  5 In 2.94-3.20
In: 0.6667 0.3333 0.5000  5 In 2.94-3.20

Results
Space-group type: P6/mmm, No. 191
Crystal system: hexagonal
Energy in eV per atom: -2.59
Density in Mg/m³: 5.5
E_form in eV per atom: -0.128
Magnetic moment in μB per cell: 0.0


The following is a DFT calculation (PBE-GGA) of crystalline LiIn2 at its relaxed geometry.

Cell: 5.0171 5.0171 5.0171 Å, 139.19 120.36 74.79°
With the nearest neighbours (Å) after each atom.
Fractional positions:
Li: 0.0000 0.0000 0.0000  8 In 2.92-3.03
In: 0.3108 0.8108 0.5000  4 Li 2.92-3.03, 5 In 3.02-3.20
In: 0.6892 0.1892 0.5000  4 Li 2.92-3.03, 5 In 3.02-3.20

Results
Space-group type: Immm, No. 71
Crystal system: orthorhombic
Energy in eV per atom: -2.60
Density in Mg/m³: 5.6
E_form in eV per atom: -0.138
Magnetic moment in μB per cell: 0.0


The following is a DFT calculation (PBE-GGA) of crystalline Li3In5 at its relaxed geometry.

Cell: 6.3408 6.3408 4.3753 Å, 90.00 90.00 90.29°
With the nearest neighbours (Å) after each atom.
Fractional positions:
Li: 0.0000 0.0000 0.0000  8 In 2.98-3.17, 4 Li 3.22
Li: 0.2622 0.7378 0.5000  10 In 3.06-3.25, 2 Li 3.22
Li: 0.7378 0.2622 0.5000  10 In 3.06-3.25, 2 Li 3.22
In: 0.0000 0.5000 0.0000  6 Li 3.13-3.17, 6 In 3.14-3.17
In: 0.2266 0.2266 0.5000  6 Li 2.98-3.25, 6 In 3.14-3.28
In: 0.5000 0.0000 0.0000  6 Li 3.13-3.17, 6 In 3.14-3.17
In: 0.5000 0.5000 0.0000  4 Li 3.06, 8 In 3.17-3.28
In: 0.7734 0.7734 0.5000  6 Li 2.98-3.25, 6 In 3.14-3.28

Results
ΔE to the lowest computed polymorph in meV/atom: 0
Space-group type: Cmmm, No. 65
Crystal system: orthorhombic
Energy in eV per atom: -2.63
Density in Mg/m³: 5.6
E_form in eV per atom: -0.200
Magnetic moment in μB per cell: 0.0


The following is a DFT calculation (PBE-GGA) of crystalline Li4In at its relaxed geometry.

Cell: 4.7393 4.7393 5.5058 Å, 116.20 116.20 59.18°
With the nearest neighbours (Å) after each atom.
Fractional positions:
Li: 0.1039 0.1039 0.3084  5 Li 2.73-2.93, 3 In 2.87-2.88
Li: 0.2936 0.2936 0.8830  7 Li 2.73-2.96, 1 In 2.93
Li: 0.7064 0.7064 0.1170  7 Li 2.73-2.96, 1 In 2.93
Li: 0.8961 0.8961 0.6916  5 Li 2.73-2.93, 3 In 2.87-2.88
In: 0.5000 0.5000 0.5000  8 Li 2.87-2.93

Results
ΔE to the lowest computed polymorph in meV/atom: 0
Space-group type: C2/m, No. 12
Crystal system: monoclinic
Energy in eV per atom: -2.29
Density in Mg/m³: 2.6
E_form in eV per atom: -0.209
Magnetic moment in μB per cell: 0.0


The following is a DFT calculation (PBE-GGA) of crystalline Li4In5 at its relaxed geometry.

Cell: 8.4724 8.4724 6.1614 Å, 90.00 90.00 120.00°
With the nearest neighbours (Å) after each atom.
Fractional positions:
Li: 0.0000 0.0000 0.0000  6 In 2.98, 2 Li 3.08
Li: 0.0000 0.0000 0.5000  6 In 2.98, 2 Li 3.08
Li: 0.0000 0.3607 0.2500  9 In 2.84-3.12
Li: 0.0000 0.6393 0.7500  9 In 2.84-3.12
Li: 0.3607 0.0000 0.2500  9 In 2.84-3.12
Li: 0.3607 0.3607 0.7500  9 In 2.84-3.12
Li: 0.6393 0.0000 0.7500  9 In 2.84-3.12
Li: 0.6393 0.6393 0.2500  9 In 2.84-3.12
In: 0.0000 0.3009 0.7500  7 Li 2.84-3.12
In: 0.0000 0.6991 0.2500  7 Li 2.84-3.12
In: 0.3009 0.0000 0.7500  7 Li 2.84-3.12
In: 0.3009 0.3009 0.2500  7 Li 2.84-3.12
In: 0.3333 0.6667 0.0000  8 In 3.08-3.35, 6 Li 3.12
In: 0.3333 0.6667 0.5000  8 In 3.08-3.35, 6 Li 3.12
In: 0.6667 0.3333 0.0000  8 In 3.08-3.35, 6 Li 3.12
In: 0.6667 0.3333 0.5000  8 In 3.08-3.35, 6 Li 3.12
In: 0.6991 0.0000 0.2500  7 Li 2.84-3.12
In: 0.6991 0.6991 0.7500  7 Li 2.84-3.12

Results
ΔE to the lowest computed polymorph in meV/atom: 16
Space-group type: P6_3/mcm, No. 193
Crystal system: hexagonal
Energy in eV per atom: -2.56
Density in Mg/m³: 5.2
E_form in eV per atom: -0.186
Magnetic moment in μB per cell: 0.0